# 1
Below is a relaxed structure of TaCuSbOs, with properties calculated at the PBE-GGA level.

As for the energy above the most stable polymorph in this dataset: 137 meV per atom. The space-group type is F-43m.

Cell lengths 4.5534, 4.5534, 4.5534 Å; angles 60.00, 60.00, 60.00 degrees
Fractional coordinates of all 4 atoms:
Ta1 0.0000 0.0000 0.0000
Cu1 0.5000 0.5000 0.5000
Sb1 0.2500 0.2500 0.2500
Os1 0.7500 0.7500 0.7500


# 2
Below is a relaxed structure of CuTcSbOs, with properties calculated at the PBE-GGA level.

As for the energy above the most stable polymorph in this dataset: 0 meV per atom. The space-group type is F-43m.

Cell lengths 4.4480, 4.4480, 4.4480 Å; angles 60.00, 60.00, 60.00 degrees
Fractional coordinates of all 4 atoms:
Cu1 0.0000 0.0000 0.0000
Tc1 0.5000 0.5000 0.5000
Sb1 0.7500 0.7500 0.7500
Os1 0.2500 0.2500 0.2500


# 3
Below is a relaxed structure of ZnCuSbOs, with properties calculated at the PBE-GGA level.

As for the energy above the most stable polymorph in this dataset: 0 meV per atom. The space-group type is F-43m.

Cell lengths 4.4617, 4.4617, 4.4617 Å; angles 60.00, 60.00, 60.00 degrees
Fractional coordinates of all 4 atoms:
Zn1 0.0000 0.0000 0.0000
Cu1 0.7500 0.7500 0.7500
Sb1 0.5000 0.5000 0.5000
Os1 0.2500 0.2500 0.2500


# 4
Below is a relaxed structure of ZrCuSbOs, with properties calculated at the PBE-GGA level.

As for the energy above the most stable polymorph in this dataset: 0 meV per atom. The space-group type is F-43m.

Cell lengths 4.5999, 4.5999, 4.5999 Å; angles 60.00, 60.00, 60.00 degrees
Fractional coordinates of all 4 atoms:
Zr1 0.0000 0.0000 0.0000
Cu1 0.7500 0.7500 0.7500
Sb1 0.5000 0.5000 0.5000
Os1 0.2500 0.2500 0.2500


# 5
Below is a relaxed structure of ZrCuSbOs, with properties calculated at the PBE-GGA level.

As for the energy above the most stable polymorph in this dataset: 299 meV per atom. The space-group type is F-43m.

Cell lengths 4.6362, 4.6362, 4.6362 Å; angles 60.00, 60.00, 60.00 degrees
Fractional coordinates of all 4 atoms:
Zr1 0.0000 0.0000 0.0000
Cu1 0.5000 0.5000 0.5000
Sb1 0.2500 0.2500 0.2500
Os1 0.7500 0.7500 0.7500


# 6
Below is a relaxed structure of ZrCuSbOs, with properties calculated at the PBE-GGA level.

As for the energy above the most stable polymorph in this dataset: 173 meV per atom. The space-group type is F-43m.

Cell lengths 4.5919, 4.5919, 4.5919 Å; angles 60.00, 60.00, 60.00 degrees
Fractional coordinates of all 4 atoms:
Zr1 0.0000 0.0000 0.0000
Cu1 0.2500 0.2500 0.2500
Sb1 0.7500 0.7500 0.7500
Os1 0.5000 0.5000 0.5000


# 7
Below is a relaxed structure of Sc2CuOs3, with properties calculated at the PBE-GGA level.

The space-group type is P4mm.

Cell lengths 3.1657, 3.1657, 9.3918 Å; angles 90.00, 90.00, 90.00 degrees
Fractional coordinates of all 6 atoms:
Sc1 0.0000 0.0000 0.0000
Sc2 0.5000 0.5000 0.4715
Cu1 0.5000 0.5000 0.1681
Os1 0.0000 0.0000 0.3079
Os2 0.0000 0.0000 0.6594
Os3 0.5000 0.5000 0.8117


# 8
Below is a relaxed structure of Sc2Cu3Os, with properties calculated at the PBE-GGA level.

The space-group type is P4mm.

Cell lengths 3.2824, 3.2824, 8.5062 Å; angles 90.00, 90.00, 90.00 degrees
Fractional coordinates of all 6 atoms:
Sc1 0.0000 0.0000 0.0000
Sc2 0.5000 0.5000 0.4919
Cu1 0.0000 0.0000 0.6838
Cu2 0.5000 0.5000 0.1652
Cu3 0.5000 0.5000 0.8218
Os1 0.0000 0.0000 0.3195


# 9
Below is a relaxed structure of ScCuSnOs, with properties calculated at the PBE-GGA level.

As for the energy above the most stable polymorph in this dataset: 0 meV per atom. The space-group type is F-43m.

Cell lengths 4.5609, 4.5609, 4.5609 Å; angles 60.00, 60.00, 60.00 degrees
Fractional coordinates of all 4 atoms:
Sc1 0.0000 0.0000 0.0000
Cu1 0.7500 0.7500 0.7500
Sn1 0.5000 0.5000 0.5000
Os1 0.2500 0.2500 0.2500


# 10
Below is a relaxed structure of ScCuSnOs, with properties calculated at the PBE-GGA level.

As for the energy above the most stable polymorph in this dataset: 291 meV per atom. The space-group type is F-43m.

Cell lengths 4.5751, 4.5751, 4.5751 Å; angles 60.00, 60.00, 60.00 degrees
Fractional coordinates of all 4 atoms:
Sc1 0.0000 0.0000 0.0000
Cu1 0.5000 0.5000 0.5000
Sn1 0.2500 0.2500 0.2500
Os1 0.7500 0.7500 0.7500


# 11
Below is a relaxed structure of ScZnCuOs, with properties calculated at the PBE-GGA level.

As for the energy above the most stable polymorph in this dataset: 0 meV per atom. The space-group type is F-43m.

Cell lengths 4.4101, 4.4101, 4.4101 Å; angles 60.00, 60.00, 60.00 degrees
Fractional coordinates of all 4 atoms:
Sc1 0.0000 0.0000 0.0000
Zn1 0.5000 0.5000 0.5000
Cu1 0.7500 0.7500 0.7500
Os1 0.2500 0.2500 0.2500


# 12
Below is a relaxed structure of ScZnCuOs, with properties calculated at the PBE-GGA level.

As for the energy above the most stable polymorph in this dataset: 132 meV per atom. The space-group type is F-43m.

Cell lengths 4.4266, 4.4266, 4.4266 Å; angles 60.00, 60.00, 60.00 degrees
Fractional coordinates of all 4 atoms:
Sc1 0.0000 0.0000 0.0000
Zn1 0.2500 0.2500 0.2500
Cu1 0.5000 0.5000 0.5000
Os1 0.7500 0.7500 0.7500


Number 1: energy -7.3655 eV per atom. Number 2: energy -6.8505 eV per atom. Number 3: energy -4.7118 eV per atom. Number 4: energy -7.0238 eV per atom. Number 5: energy -6.7246 eV per atom. Number 6: energy -6.8510 eV per atom. Number 7: energy -8.3026 eV per atom. Number 8: energy -5.9804 eV per atom. Number 9: energy -6.4852 eV per atom. Number 10: energy -6.1945 eV per atom. Number 11: energy -5.7056 eV per atom. Number 12: energy -5.5739 eV per atom.